(1)
An optimized crystal structure of Ac12TbPm3, computed with PBE.

Cell and atoms, written as POSCAR:
```
Ac12TbPm3
1.0
5.5206 0.0000 0.0000
0.0000 5.5206 0.0000
0.0000 0.0000 22.0198
Ac Tb Pm
12 1 3
direct
0.0000 0.0000 0.0000 Ac
0.0000 0.0000 0.2491 Ac
0.0000 0.0000 0.5000 Ac
0.0000 0.0000 0.7509 Ac
0.0000 0.5000 0.1239 Ac
0.0000 0.5000 0.3745 Ac
0.0000 0.5000 0.6255 Ac
0.0000 0.5000 0.8761 Ac
0.5000 0.0000 0.1239 Ac
0.5000 0.0000 0.3745 Ac
0.5000 0.0000 0.6255 Ac
0.5000 0.0000 0.8761 Ac
0.5000 0.5000 0.0000 Tb
0.5000 0.5000 0.2490 Pm
0.5000 0.5000 0.5000 Pm
0.5000 0.5000 0.7510 Pm
```

Properties
space group = No. 123
energy of formation = 0.03 eV per atom
total DFT energy (no corrections) = -0.3112 Ry/atom

(2)
An optimized crystal structure of Ac7TbPm4, computed with PBE.

Cell and atoms, written as POSCAR:
```
Ac7TbPm4
1.0
6.6695 0.0000 0.0000
0.0445 7.6767 0.0000
3.3082 2.0255 9.4292
Ac Tb Pm
7 1 4
direct
0.0000 0.0000 0.0000 Ac
0.1644 0.4174 0.3363 Ac
0.3299 0.8324 0.6663 Ac
0.4954 0.2518 0.9982 Ac
0.5046 0.7482 0.0018 Ac
0.6701 0.1676 0.3337 Ac
0.8356 0.5826 0.6637 Ac
0.0000 0.5000 0.0000 Tb
0.1670 0.9152 0.3354 Pm
0.3354 0.3337 0.6670 Pm
0.6646 0.6663 0.3330 Pm
0.8330 0.0848 0.6646 Pm
```

Properties
space group = No. 2
energy of formation = 0.05 eV per atom
total DFT energy (no corrections) = -0.3174 Ry/atom

(3)
An optimized crystal structure of Ac3Tb2Pm4, computed with PBE.

Cell and atoms, written as POSCAR:
```
Ac3Tb2Pm4
1.0
5.7285 0.0000 0.0000
-0.0030 7.1601 0.0000
-2.8568 -3.0423 8.3117
Ac Tb Pm
3 2 4
direct
0.0000 0.0000 0.0000 Ac
0.4193 0.6029 0.8389 Ac
0.5807 0.3971 0.1611 Ac
0.1518 0.7257 0.3036 Tb
0.8482 0.2743 0.6964 Tb
0.2157 0.2892 0.4316 Pm
0.3629 0.0374 0.7256 Pm
0.6371 0.9626 0.2744 Pm
0.7843 0.7108 0.5684 Pm
```

Properties
space group = No. 2
energy of formation = 0.11 eV per atom
total DFT energy (no corrections) = -0.3234 Ry/atom

(4)
An optimized crystal structure of Ac4TbPm10, computed with PBE.

Cell and atoms, written as POSCAR:
```
Ac4TbPm10
1.0
-5.8763 5.8763 4.1405
5.8763 -5.8763 4.1405
5.8763 5.8763 -4.1405
Ac Tb Pm
4 1 10
direct
0.2271 0.2271 0.4541 Ac
0.2271 0.7729 0.0000 Ac
0.7729 0.2271 0.0000 Ac
0.7729 0.7729 0.5459 Ac
0.0000 0.0000 0.0000 Tb
0.0871 0.2941 0.7930 Pm
0.2500 0.7500 0.5000 Pm
0.2941 0.0871 0.7930 Pm
0.2941 0.5011 0.2070 Pm
0.4989 0.7059 0.7930 Pm
0.5011 0.2941 0.2070 Pm
0.7059 0.4989 0.7930 Pm
0.7059 0.9129 0.2070 Pm
0.7500 0.2500 0.5000 Pm
0.9129 0.7059 0.2070 Pm
```

Properties
space group = No. 139
energy of formation = 0.24 eV per atom
total DFT energy (no corrections) = -0.3182 Ry/atom

(5)
An optimized crystal structure of Ac2Tb7Pm2, computed with PBE.

Cell and atoms, written as POSCAR:
```
Ac2Tb7Pm2
1.0
8.7610 -6.0019 0.0000
8.7610 6.0019 0.0000
-0.5109 0.0000 3.6738
Ac Tb Pm
2 7 2
direct
0.1970 0.1970 0.1745 Ac
0.8030 0.8030 0.8255 Ac
0.0000 0.0000 0.5000 Tb
0.0990 0.5672 0.3145 Tb
0.4047 0.4047 0.7710 Tb
0.4328 0.9010 0.6855 Tb
0.5672 0.0990 0.3145 Tb
0.5953 0.5953 0.2290 Tb
0.9010 0.4328 0.6855 Tb
0.2458 0.7542 0.0000 Pm
0.7542 0.2458 0.0000 Pm
```

Properties
space group = No. 12
energy of formation = 0.13 eV per atom
total DFT energy (no corrections) = -0.3252 Ry/atom

(6)
An optimized crystal structure of Ac6TbPm, computed with PBE.

Cell and atoms, written as POSCAR:
```
Ac6TbPm
1.0
5.5055 0.0000 0.0000
0.0000 5.5055 0.0000
0.0000 0.0000 11.0181
Ac Tb Pm
6 1 1
direct
0.0000 0.0000 0.0000 Ac
0.0000 0.0000 0.5000 Ac
0.0000 0.5000 0.2488 Ac
0.0000 0.5000 0.7512 Ac
0.5000 0.0000 0.2488 Ac
0.5000 0.0000 0.7512 Ac
0.5000 0.5000 0.0000 Tb
0.5000 0.5000 0.5000 Pm
```

Properties
space group = No. 123
energy of formation = 0.03 eV per atom
polymorph energy (0 for the lowest one) = 0.0 kJ/mol of formula units
total DFT energy (no corrections) = -0.3105 Ry/atom

(7)
An optimized crystal structure of AcTb4Pm5, computed with PBE.

Cell and atoms, written as POSCAR:
```
AcTb4Pm5
1.0
8.8602 -1.8085 0.0000
8.8602 1.8085 0.0000
-1.3556 0.0000 11.1279
Ac Tb Pm
1 4 5
direct
0.0000 0.0000 0.0000 Ac
0.1989 0.1989 0.8817 Tb
0.4510 0.4510 0.2446 Tb
0.5490 0.5490 0.7554 Tb
0.8011 0.8011 0.1183 Tb
0.0000 0.0000 0.5000 Pm
0.3055 0.3055 0.4016 Pm
0.3653 0.3653 0.7302 Pm
0.6347 0.6347 0.2698 Pm
0.6945 0.6945 0.5984 Pm
```

Properties
space group = No. 12
energy of formation = 0.18 eV per atom
polymorph energy (0 for the lowest one) = 141.8 kJ/mol of formula units
total DFT energy (no corrections) = -0.3280 Ry/atom

(8)
An optimized crystal structure of AcTb6Pm12, computed with PBE.

Cell and atoms, written as POSCAR:
```
AcTb6Pm12
1.0
6.7738 3.9108 4.2241
-6.7738 3.9108 4.2241
0.0000 -7.8217 4.2241
Ac Tb Pm
1 6 12
direct
0.0000 0.0000 0.0000 Ac
0.1017 0.1017 0.6563 Tb
0.1017 0.6563 0.1017 Tb
0.3437 0.8983 0.8983 Tb
0.6563 0.1017 0.1017 Tb
0.8983 0.3437 0.8983 Tb
0.8983 0.8983 0.3437 Tb
0.0813 0.3547 0.3547 Pm
0.2402 0.5000 0.7598 Pm
0.2402 0.7598 0.5000 Pm
0.3547 0.0813 0.3547 Pm
0.3547 0.3547 0.0813 Pm
0.5000 0.2402 0.7598 Pm
0.5000 0.7598 0.2402 Pm
0.6453 0.6453 0.9187 Pm
0.6453 0.9187 0.6453 Pm
0.7598 0.2402 0.5000 Pm
0.7598 0.5000 0.2402 Pm
0.9187 0.6453 0.6453 Pm
```

Properties
space group = No. 166
energy of formation = 0.19 eV per atom
polymorph energy (0 for the lowest one) = 96.4 kJ/mol of formula units
total DFT energy (no corrections) = -0.3297 Ry/atom

(9)
An optimized crystal structure of Ac12Tb7Pm, computed with PBE.

Cell and atoms, written as POSCAR:
```
Ac12Tb7Pm
1.0
10.3736 5.9892 2.2114
-10.3736 5.9892 2.2114
0.0000 -11.9784 2.2114
Ac Tb Pm
12 7 1
direct
0.0012 0.4135 0.5879 Ac
0.0646 0.0658 0.4103 Ac
0.0658 0.4103 0.0646 Ac
0.4103 0.0646 0.0658 Ac
0.4121 0.9988 0.5865 Ac
0.4135 0.5879 0.0012 Ac
0.5865 0.4121 0.9988 Ac
0.5879 0.0012 0.4135 Ac
0.5897 0.9354 0.9342 Ac
0.9342 0.5897 0.9354 Ac
0.9354 0.9342 0.5897 Ac
0.9988 0.5865 0.4121 Ac
0.0000 0.0000 0.0000 Tb
0.1539 0.3956 0.3944 Tb
0.3944 0.1539 0.3956 Tb
0.3956 0.3944 0.1539 Tb
0.6044 0.6056 0.8461 Tb
0.6056 0.8461 0.6044 Tb
0.8461 0.6044 0.6056 Tb
0.5000 0.5000 0.5000 Pm
```

Properties
space group = No. 148
energy of formation = 0.22 eV per atom
total DFT energy (no corrections) = -0.3018 Ry/atom

(10)
An optimized crystal structure of Ac3Tb12Pm, computed with PBE.

Cell and atoms, written as POSCAR:
```
Ac3Tb12Pm
1.0
5.1562 0.0000 0.0000
0.0000 5.1562 0.0000
0.0000 0.0000 20.6563
Ac Tb Pm
3 12 1
direct
0.0000 0.0000 0.0000 Ac
0.0000 0.0000 0.2503 Ac
0.0000 0.0000 0.7497 Ac
0.0000 0.5000 0.1248 Tb
0.0000 0.5000 0.3781 Tb
0.0000 0.5000 0.6219 Tb
0.0000 0.5000 0.8752 Tb
0.5000 0.0000 0.1248 Tb
0.5000 0.0000 0.3781 Tb
0.5000 0.0000 0.6219 Tb
0.5000 0.0000 0.8752 Tb
0.5000 0.5000 0.0000 Tb
0.5000 0.5000 0.2512 Tb
0.5000 0.5000 0.5000 Tb
0.5000 0.5000 0.7488 Tb
0.0000 0.0000 0.5000 Pm
```

Properties
space group = No. 123
energy of formation = 0.04 eV per atom
total DFT energy (no corrections) = -0.3304 Ry/atom

(11)
An optimized crystal structure of Ac15Tb4Pm, computed with PBE.

Cell and atoms, written as POSCAR:
```
Ac15Tb4Pm
1.0
5.5093 0.0000 0.0000
0.0000 5.5093 0.0000
0.0000 0.0000 27.4039
Ac Tb Pm
15 4 1
direct
0.0000 0.0000 0.0000 Ac
0.0000 0.0000 0.2006 Ac
0.0000 0.0000 0.4001 Ac
0.0000 0.0000 0.5999 Ac
0.0000 0.0000 0.7994 Ac
0.0000 0.5000 0.1008 Ac
0.0000 0.5000 0.3003 Ac
0.0000 0.5000 0.5000 Ac
0.0000 0.5000 0.6997 Ac
0.0000 0.5000 0.8992 Ac
0.5000 0.0000 0.1008 Ac
0.5000 0.0000 0.3003 Ac
0.5000 0.0000 0.5000 Ac
0.5000 0.0000 0.6997 Ac
0.5000 0.0000 0.8992 Ac
0.5000 0.5000 0.2006 Tb
0.5000 0.5000 0.4001 Tb
0.5000 0.5000 0.5999 Tb
0.5000 0.5000 0.7994 Tb
0.5000 0.5000 0.0000 Pm
```

Properties
space group = No. 123
energy of formation = 0.03 eV per atom
total DFT energy (no corrections) = -0.3097 Ry/atom

(12)
An optimized crystal structure of AcTb4Pm, computed with PBE.

Cell and atoms, written as POSCAR:
```
AcTb4Pm
1.0
0.0000 4.7563 4.7563
4.7563 0.0000 4.7563
4.7563 4.7563 0.0000
Ac Tb Pm
1 4 1
direct
0.0000 0.0000 0.0000 Ac
0.1279 0.6240 0.6240 Tb
0.6240 0.1279 0.6240 Tb
0.6240 0.6240 0.1279 Tb
0.6240 0.6240 0.6240 Tb
0.2500 0.2500 0.2500 Pm
```

Properties
space group = No. 216
energy of formation = 0.27 eV per atom
polymorph energy (0 for the lowest one) = 91.6 kJ/mol of formula units
total DFT energy (no corrections) = -0.3157 Ry/atom

In states/eV/cell, the DOS at the Fermi energy values for the records above are, in order, 26.5 21.6 14.0 21.8 17.2 12.7 14.9 36.1 31.0 24.8 26.1 14.6.